[1]
First-principles (GGA-PBE) data for a relaxed structure of GaFeRh2, as listed in Alexandria.

Values from the calculation:
Energy of formation = 715 meV per atom
Density of states at the Fermi level = 7.4 states/eV/cell
Total magnetization = 0.002 μB/f.u.

a b c (Å): 6.649 6.649 6.649
angles (deg): 132.67 132.67 69.17
Element x y z (fractional)
1 Ga 0.000 0.000 0.000
2 Ga 0.750 0.250 0.500
3 Fe 0.250 0.750 0.500
4 Fe 0.500 0.500 0.000
5 Rh 0.156 0.625 0.031
6 Rh 0.375 0.406 0.531
7 Rh 0.594 0.125 0.969
8 Rh 0.875 0.844 0.469


[2]
First-principles (GGA-PBE) data for a relaxed structure of Ga6FeRh, as listed in Alexandria.

Values from the calculation:
Energy of formation = -103 meV per atom
Density of states at the Fermi level = 2.2 states/eV/cell
Total magnetization = 1.517 μB/f.u.

a b c (Å): 5.300 5.300 5.300
angles (deg): 104.56 104.56 104.56
Element x y z (fractional)
1 Ga 0.226 0.226 0.691
2 Ga 0.226 0.691 0.226
3 Ga 0.309 0.774 0.774
4 Ga 0.691 0.226 0.226
5 Ga 0.774 0.309 0.774
6 Ga 0.774 0.774 0.309
7 Fe 0.500 0.500 0.500
8 Rh 0.000 0.000 0.000


[3]
First-principles (GGA-PBE) data for a relaxed structure of Ga2FeRh5, as listed in Alexandria.

Values from the calculation:
Energy of formation = -326 meV per atom
Density of states at the Fermi level = 5.1 states/eV/cell
Total magnetization = 4.342 μB/f.u.

a b c (Å): 7.497 7.497 7.497
angles (deg): 148.95 148.95 44.48
Element x y z (fractional)
1 Ga 0.249 0.249 0.000
2 Ga 0.751 0.751 0.000
3 Fe 0.000 0.000 0.000
4 Rh 0.130 0.630 0.500
5 Rh 0.370 0.870 0.500
6 Rh 0.500 0.500 0.000
7 Rh 0.630 0.130 0.500
8 Rh 0.870 0.370 0.500


[4]
First-principles (GGA-PBE) data for a relaxed structure of Ga4FeRh5, as listed in Alexandria.

Values from the calculation:
Energy of formation = -572 meV per atom
Density of states at the Fermi level = 5.1 states/eV/cell
Total magnetization = 3.981 μB/f.u.

a b c (Å): 3.027 3.027 15.161
angles (deg): 90.00 90.00 90.00
Element x y z (fractional)
1 Ga 0.000 0.000 0.101
2 Ga 0.000 0.000 0.303
3 Ga 0.000 0.000 0.697
4 Ga 0.000 0.000 0.899
5 Fe 0.000 0.000 0.500
6 Rh 0.500 0.500 0.000
7 Rh 0.500 0.500 0.200
8 Rh 0.500 0.500 0.399
9 Rh 0.500 0.500 0.601
10 Rh 0.500 0.500 0.800


[5]
First-principles (GGA-PBE) data for a relaxed structure of GaFeRh, as listed in Alexandria.

Values from the calculation:
Energy of formation = 253 meV per atom
Density of states at the Fermi level = 3.0 states/eV/cell
Total magnetization = 0.421 μB/f.u.

a b c (Å): 6.649 6.649 6.649
angles (deg): 156.85 156.85 32.97
Element x y z (fractional)
1 Ga 0.000 0.000 0.000
2 Fe 0.182 0.182 0.000
3 Rh 0.809 0.809 0.000


[6]
First-principles (GGA-PBE) data for a relaxed structure of Ga2FeRh9, as listed in Alexandria.

Values from the calculation:
Energy of formation = -206 meV per atom
Density of states at the Fermi level = 15.3 states/eV/cell
Total magnetization = 3.409 μB/f.u.

a b c (Å): 3.831 3.831 11.497
angles (deg): 90.00 90.00 90.00
Element x y z (fractional)
1 Ga 0.000 0.000 0.166
2 Ga 0.000 0.000 0.834
3 Fe 0.000 0.000 0.500
4 Rh 0.000 0.500 0.000
5 Rh 0.000 0.500 0.337
6 Rh 0.000 0.500 0.663
7 Rh 0.500 0.000 0.000
8 Rh 0.500 0.000 0.337
9 Rh 0.500 0.000 0.663
10 Rh 0.500 0.500 0.169
11 Rh 0.500 0.500 0.500
12 Rh 0.500 0.500 0.831


[7]
First-principles (GGA-PBE) data for a relaxed structure of GaFe3Rh, as listed in Alexandria.

Values from the calculation:
Energy of formation = 1096 meV per atom
Density of states at the Fermi level = 5.0 states/eV/cell
Energy above the most stable polymorph in this dataset = 0 meV per atom
Total magnetization = 10.306 μB/f.u.

a b c (Å): 4.623 4.623 4.623
angles (deg): 90.00 90.00 90.00
Element x y z (fractional)
1 Ga 0.000 0.000 0.000
2 Fe 0.000 0.500 0.500
3 Fe 0.500 0.000 0.500
4 Fe 0.500 0.500 0.000
5 Rh 0.500 0.500 0.500


[8]
First-principles (GGA-PBE) data for a relaxed structure of Ga5FeRh6, as listed in Alexandria.

Values from the calculation:
Energy of formation = -604 meV per atom
Density of states at the Fermi level = 5.8 states/eV/cell
Total magnetization = 4.003 μB/f.u.

a b c (Å): 6.776 6.776 6.056
angles (deg): 90.00 90.00 143.16
Element x y z (fractional)
1 Ga 0.000 0.000 0.000
2 Ga 0.333 0.667 0.000
3 Ga 0.338 0.662 0.500
4 Ga 0.662 0.338 0.500
5 Ga 0.667 0.333 0.000
6 Fe 0.000 0.000 0.500
7 Rh 0.168 0.832 0.250
8 Rh 0.168 0.832 0.750
9 Rh 0.500 0.500 0.246
10 Rh 0.500 0.500 0.754
11 Rh 0.832 0.168 0.250
12 Rh 0.832 0.168 0.750


[9]
First-principles (GGA-PBE) data for a relaxed structure of GaFeRh2, as listed in Alexandria.

Values from the calculation:
Energy of formation = -219 meV per atom
Density of states at the Fermi level = 1.8 states/eV/cell
Total magnetization = 3.298 μB/f.u.

a b c (Å): 8.373 8.373 8.373
angles (deg): 19.25 19.25 19.25
Element x y z (fractional)
1 Ga 0.000 0.000 0.000
2 Fe 0.500 0.500 0.500
3 Rh 0.251 0.251 0.251
4 Rh 0.749 0.749 0.749


[10]
First-principles (GGA-PBE) data for a relaxed structure of GaFe2Rh4, as listed in Alexandria.

Values from the calculation:
Energy of formation = -37 meV per atom
Density of states at the Fermi level = 7.8 states/eV/cell
Total magnetization = 8.070 μB/f.u.

a b c (Å): 5.118 5.118 5.118
angles (deg): 109.33 109.33 109.75
Element x y z (fractional)
1 Ga 0.000 0.000 0.000
2 Fe 0.000 0.500 0.500
3 Fe 0.500 0.000 0.500
4 Rh 0.000 0.000 0.500
5 Rh 0.000 0.500 0.000
6 Rh 0.500 0.000 0.000
7 Rh 0.500 0.500 0.500


[11]
First-principles (GGA-PBE) data for a relaxed structure of GaFeSiRh, as listed in Alexandria.

Values from the calculation:
Density of states at the Fermi level = 1.3 states/eV/cell
Formation energy without anion corrections = -420 meV/atom
Total magnetization = 0.067 μB/f.u.

a b c (Å): 4.133 4.133 4.133
angles (deg): 60.00 60.00 60.00
Element x y z (fractional)
1 Ga 0.000 0.000 0.000
2 Fe 0.250 0.250 0.250
3 Si 0.500 0.500 0.500
4 Rh 0.750 0.750 0.750


[12]
First-principles (GGA-PBE) data for a relaxed structure of TaGaFeRh2, as listed in Alexandria.

Values from the calculation:
Energy of formation = 1047 meV per atom
Density of states at the Fermi level = 4.5 states/eV/cell
Total magnetization = 1.434 μB/f.u.

a b c (Å): 4.753 4.753 4.538
angles (deg): 90.00 90.00 90.00
Element x y z (fractional)
1 Ta 0.000 0.000 0.000
2 Ga 0.500 0.500 0.500
3 Fe 0.000 0.000 0.500
4 Rh 0.000 0.500 0.000
5 Rh 0.500 0.000 0.000


[13]
First-principles (GGA-PBE) data for a relaxed structure of Ga2FeTeRh, as listed in Alexandria.

Values from the calculation:
Density of states at the Fermi level = 7.7 states/eV/cell
Formation energy without anion corrections = 1203 meV/atom
Total magnetization = 3.445 μB/f.u.

a b c (Å): 5.291 5.291 4.848
angles (deg): 90.00 90.00 90.00
Element x y z (fractional)
1 Ga 0.000 0.500 0.000
2 Ga 0.500 0.000 0.000
3 Fe 0.000 0.000 0.500
4 Te 0.500 0.500 0.000
5 Rh 0.500 0.500 0.500


[14]
First-principles (GGA-PBE) data for a relaxed structure of UGaFeRh, as listed in Alexandria.

Values from the calculation:
Energy of formation = -259 meV per atom
Density of states at the Fermi level = 6.7 states/eV/cell
Total magnetization = 0.602 μB/f.u.

a b c (Å): 4.533 4.533 4.533
angles (deg): 60.00 60.00 60.00
Element x y z (fractional)
1 U 0.000 0.000 0.000
2 Ga 0.500 0.500 0.500
3 Fe 0.250 0.250 0.250
4 Rh 0.750 0.750 0.750


[15]
First-principles (GGA-PBE) data for a relaxed structure of Y2GaFe2Rh5, as listed in Alexandria.

Values from the calculation:
Energy of formation = -436 meV per atom
Density of states at the Fermi level = 15.5 states/eV/cell
Total magnetization = 7.372 μB/f.u.

a b c (Å): 9.555 9.555 3.637
angles (deg): 90.00 90.00 90.00
Element x y z (fractional)
1 Y 0.176 0.324 0.000
2 Y 0.324 0.824 0.000
3 Y 0.676 0.176 0.000
4 Y 0.824 0.676 0.000
5 Ga 0.000 0.000 0.000
6 Ga 0.500 0.500 0.000
7 Fe 0.123 0.623 0.000
8 Fe 0.377 0.123 0.000
9 Fe 0.623 0.877 0.000
10 Fe 0.877 0.377 0.000
11 Rh 0.000 0.500 0.500
12 Rh 0.065 0.796 0.500
13 Rh 0.204 0.065 0.500
14 Rh 0.296 0.565 0.500
15 Rh 0.435 0.296 0.500
16 Rh 0.500 0.000 0.500
17 Rh 0.565 0.704 0.500
18 Rh 0.704 0.435 0.500
19 Rh 0.796 0.935 0.500
20 Rh 0.935 0.204 0.500


[16]
First-principles (GGA-PBE) data for a relaxed structure of GaFeRu2, as listed in Alexandria.

Values from the calculation:
Energy of formation = 1015 meV per atom
Density of states at the Fermi level = 9.0 states/eV/cell
Total magnetization = 0.000 μB/f.u.

a b c (Å): 6.030 6.030 6.030
angles (deg): 122.67 122.67 85.43
Element x y z (fractional)
1 Ga 0.000 0.000 0.000
2 Ga 0.750 0.250 0.500
3 Fe 0.250 0.750 0.500
4 Fe 0.500 0.500 0.000
5 Ru 0.159 0.625 0.034
6 Ru 0.375 0.409 0.534
7 Ru 0.591 0.125 0.966
8 Ru 0.875 0.841 0.466


[17]
First-principles (GGA-PBE) data for a relaxed structure of GaFeRu2, as listed in Alexandria.

Values from the calculation:
Energy of formation = -127 meV per atom
Density of states at the Fermi level = 2.9 states/eV/cell
Total magnetization = 3.005 μB/f.u.

a b c (Å): 4.221 4.221 3.019
angles (deg): 90.00 90.00 90.00
Element x y z (fractional)
1 Ga 0.000 0.000 0.000
2 Fe 0.500 0.500 0.000
3 Ru 0.000 0.500 0.500
4 Ru 0.500 0.000 0.500


[18]
First-principles (GGA-PBE) data for a relaxed structure of Ga3FeRu, as listed in Alexandria.

Values from the calculation:
Energy of formation = 534 meV per atom
Density of states at the Fermi level = 7.1 states/eV/cell
Energy above the most stable polymorph in this dataset = 0 meV per atom
Total magnetization = 3.518 μB/f.u.

a b c (Å): 4.609 4.609 4.609
angles (deg): 90.00 90.00 90.00
Element x y z (fractional)
1 Ga 0.000 0.000 0.500
2 Ga 0.000 0.500 0.000
3 Ga 0.500 0.000 0.000
4 Fe 0.500 0.500 0.500
5 Ru 0.000 0.000 0.000


[19]
First-principles (GGA-PBE) data for a relaxed structure of GaFeRu2, as listed in Alexandria.

Values from the calculation:
Energy of formation = 378 meV per atom
Density of states at the Fermi level = 4.1 states/eV/cell
Total magnetization = 0.001 μB/f.u.

a b c (Å): 6.022 6.022 6.022
angles (deg): 154.07 141.48 47.02
Element x y z (fractional)
1 Ga 0.000 0.000 0.000
2 Fe 0.500 0.500 0.000
3 Ru 0.296 0.296 0.000
4 Ru 0.704 0.704 0.000


[20]
First-principles (GGA-PBE) data for a relaxed structure of Ga2FeRu3, as listed in Alexandria.

Values from the calculation:
Energy of formation = -163 meV per atom
Density of states at the Fermi level = 7.2 states/eV/cell
Total magnetization = 3.001 μB/f.u.

a b c (Å): 3.015 3.015 9.001
angles (deg): 90.00 90.00 90.00
Element x y z (fractional)
1 Ga 0.000 0.000 0.167
2 Ga 0.000 0.000 0.833
3 Fe 0.000 0.000 0.500
4 Ru 0.500 0.500 0.000
5 Ru 0.500 0.500 0.339
6 Ru 0.500 0.500 0.661